[1]
The following is a PBE calculation of an optimized crystal structure of Rb4Pu3HfS8, from Alexandria via LeMat-Bulk.

```
Rb4Pu3HfS8
1.0
4.064 2.347 7.657
-4.064 2.347 7.657
0.000 -4.693 7.657
Rb Pu Hf S
4 3 1 8
direct
0.000 0.000 0.000 Rb
0.000 0.500 0.500 Rb
0.500 0.000 0.500 Rb
0.500 0.500 0.000 Rb
0.000 0.000 0.500 Pu
0.000 0.500 0.000 Pu
0.500 0.000 0.000 Pu
0.500 0.500 0.500 Hf
0.231 0.231 0.231 S
0.251 0.718 0.718 S
0.282 0.282 0.749 S
0.282 0.749 0.282 S
0.718 0.251 0.718 S
0.718 0.718 0.251 S
0.749 0.282 0.282 S
0.769 0.769 0.769 S
```

Computed properties:
Total moment, μB per cell: 16.0
Raw total energy, eV for the cell shown: -114.4
ΔE_f (raw), eV/f.u.: -24.6
N(E_F), states/eV/cell: 28.40
Crystal system: trigonal

[2]
The following is a PBE calculation of an optimized crystal structure of Rb3Pu3HfS8, from Alexandria via LeMat-Bulk.

```
Rb3Pu3HfS8
1.0
4.024 2.323 7.794
-4.024 2.323 7.794
0.000 -4.646 7.794
Rb Pu Hf S
3 3 1 8
direct
0.000 0.500 0.500 Rb
0.500 0.000 0.500 Rb
0.500 0.500 0.000 Rb
0.000 0.000 0.500 Pu
0.000 0.500 0.000 Pu
0.500 0.000 0.000 Pu
0.500 0.500 0.500 Hf
0.230 0.230 0.230 S
0.249 0.716 0.716 S
0.284 0.284 0.751 S
0.284 0.751 0.284 S
0.716 0.249 0.716 S
0.716 0.716 0.249 S
0.751 0.284 0.284 S
0.770 0.770 0.770 S
```

Computed properties:
Total moment, μB per cell: 15.0
Raw total energy, eV for the cell shown: -112.6
ΔE_f (raw), eV/f.u.: -23.7
N(E_F), states/eV/cell: 26.96
Crystal system: trigonal